Record 1
Compound: CaY2BPb
Source: Alexandria
Functional: PBE-GGA
Structure: relaxed

Computed properties:
Mass density, g cm⁻³: 5.469
Electronic total energy, eV/f.u.: -26.7
Total magnetization, μB/cell: 0.00
Formation energy from the elements, eV/atom: -0.28
DOS(E_F), states/eV per cell: 5.15

Cell and atoms, written as POSCAR:
```
CaY2BPb
1.0
5.073 0.000 0.000
0.000 5.073 0.000
0.000 0.000 5.143
Ca Y B Pb
1 2 1 1
direct
0.000 0.000 0.000
0.000 0.500 0.500
0.500 0.000 0.500
0.000 0.000 0.500
0.500 0.500 0.000
```

---

Record 2
Compound: Cs2BaScF6
Source: Alexandria
Functional: PBE-GGA
Structure: relaxed

Computed properties:
Mass density, g cm⁻³: 4.270
Electronic total energy, eV/f.u.: -53.4
Total magnetization, μB/cell: 1.30
ΔE_f (raw), kcal/mol of atoms: -74.2
DOS(E_F), states/eV per cell: 8.81

Cell and atoms, written as POSCAR:
```
Cs2BaScF6
1.0
6.516 0.000 0.000
0.000 9.586 0.000
0.000 0.000 6.999
Cs Ba Sc F
4 2 2 12
direct
0.250 0.013 0.233
0.250 0.487 0.233
0.750 0.513 0.767
0.750 0.987 0.767
0.250 0.250 0.734
0.750 0.750 0.266
0.250 0.750 0.762
0.750 0.250 0.238
0.018 0.750 0.550
0.024 0.750 0.983
0.250 0.525 0.768
0.250 0.975 0.768
0.476 0.750 0.983
0.482 0.750 0.550
0.518 0.250 0.450
0.524 0.250 0.017
0.750 0.025 0.232
0.750 0.475 0.232
0.976 0.250 0.017
0.982 0.250 0.450
```

---

Record 3
Compound: Cr2TcRu
Source: Alexandria
Functional: PBE-GGA
Structure: relaxed

Computed properties:
Mass density, g cm⁻³: 9.571
Electronic total energy, eV/f.u.: -38.2
Total magnetization, μB/cell: 0.00
Formation energy from the elements, eV/atom: 0.18
DOS(E_F), states/eV per cell: 6.01

Cell and atoms, written as POSCAR:
```
Cr2TcRu
1.0
-1.859 1.859 3.802
1.859 -1.859 3.802
1.859 1.859 -3.802
Cr Tc Ru
2 1 1
direct
0.000 0.000 0.000
0.750 0.250 0.500
0.500 0.500 0.000
0.250 0.750 0.500
```

---

Record 4
Compound: CuBrOF2
Source: Alexandria
Functional: PBE-GGA
Structure: relaxed

Computed properties:
Mass density, g cm⁻³: 4.511
Excess energy over the best structure of this formula in the dataset, meV/atom: 0
Electronic total energy, eV/f.u.: -16.5
Total magnetization, μB/cell: 0.08
ΔE_f (raw), kcal/mol of atoms: -9.5
DOS(E_F), states/eV per cell: 3.30

Cell and atoms, written as POSCAR:
```
CuBrOF2
1.0
3.615 0.000 0.000
0.000 3.615 0.000
0.000 0.000 5.561
Cu Br O F
1 1 1 2
direct
0.000 0.000 0.000
0.500 0.500 0.500
0.000 0.000 0.500
0.000 0.500 0.000
0.500 0.000 0.000
```

---

Record 5
Compound: Ba2MnTc
Source: Alexandria
Functional: PBE-GGA
Structure: relaxed

Computed properties:
Mass density, g cm⁻³: 5.158
Excess energy over the best structure of this formula in the dataset, meV/atom: 0
Electronic total energy, eV/f.u.: -21.8
Total magnetization, μB/cell: 1.66
Formation energy from the elements, eV/atom: 0.40
DOS(E_F), states/eV per cell: 3.89

Cell and atoms, written as POSCAR:
```
Ba2MnTc
1.0
3.573 -2.063 0.000
3.573 2.063 0.000
-2.322 0.000 9.336
Ba Mn Tc
2 1 1
direct
0.000 0.000 0.000
0.173 0.173 0.531
0.420 0.420 0.265
0.753 0.753 0.266
```

---

Record 6
Compound: LaIrRh2
Source: Alexandria
Functional: PBE-GGA
Structure: relaxed

Computed properties:
Mass density, g cm⁻³: 11.027
Excess energy over the best structure of this formula in the dataset, meV/atom: 440
Electronic total energy, eV/f.u.: -28.7
Total magnetization, μB/cell: 0.00
Formation energy from the elements, eV/atom: -0.06
DOS(E_F), states/eV per cell: 6.25

Cell and atoms, written as POSCAR:
```
LaIrRh2
1.0
-2.091 2.091 9.246
2.091 -2.091 9.246
2.091 2.091 -9.246
La Ir Rh
2 2 4
direct
0.000 0.000 0.000
0.750 0.250 0.500
0.250 0.750 0.500
0.500 0.500 0.000
0.192 0.625 0.067
0.375 0.442 0.567
0.558 0.125 0.933
0.875 0.808 0.433
```

---

Record 7
Compound: Pm2HoTe2O2
Source: Alexandria
Functional: PBE-GGA
Structure: relaxed

Computed properties:
Mass density, g cm⁻³: 7.764
Electronic total energy, eV/f.u.: -45.5
Total magnetization, μB/cell: 0.00
ΔE_f (raw), kcal/mol of atoms: -50.2
DOS(E_F), states/eV per cell: 2.69

Cell and atoms, written as POSCAR:
```
Pm2HoTe2O2
1.0
-2.182 2.182 8.335
2.182 -2.182 8.335
2.182 2.182 -8.335
Pm Ho Te O
2 1 2 2
direct
0.108 0.108 0.000
0.892 0.892 0.000
0.500 0.500 0.000
0.318 0.318 0.000
0.682 0.682 0.000
0.000 0.500 0.500
0.500 0.000 0.500
```

---

Record 8
Compound: Ti6Zn2Ni
Source: Alexandria
Functional: PBE-GGA
Structure: relaxed

Computed properties:
Mass density, g cm⁻³: 4.913
Electronic total energy, eV/f.u.: -53.4
Total magnetization, μB/cell: 0.00
Formation energy from the elements, eV/atom: 0.26
DOS(E_F), states/eV per cell: 13.74

Cell and atoms, written as POSCAR:
```
Ti6Zn2Ni
1.0
-2.090 3.068 6.281
2.090 -3.068 6.281
2.090 3.068 -6.281
Ti Zn Ni
6 2 1
direct
0.078 0.337 0.741
0.235 0.000 0.235
0.404 0.663 0.741
0.596 0.337 0.259
0.765 0.000 0.765
0.922 0.663 0.259
0.335 0.835 0.500
0.665 0.165 0.500
0.000 0.500 0.500
```